(1)
# KZnSb (PBE, optimized geometry)
# density: 3.904 g/cm3
# uncorrected energy: -2.562 eV/atom
data_KZnSb
_chemical_formula_sum 'K1 Zn1 Sb1'
_cell_length_a 4.5541
_cell_length_b 4.5541
_cell_length_c 5.3575
_cell_angle_alpha 90.00
_cell_angle_beta 90.00
_cell_angle_gamma 120.00
_space_group_name_H-M_alt 'P -6 m 2'
_space_group_IT_number 187
_space_group_name_Hall 'P -6 2'
loop_
_atom_site_label
_atom_site_fract_x
_atom_site_fract_y
_atom_site_fract_z
K1 0.0000 0.0000 0.0000
Zn1 0.3333 0.6667 0.5000
Sb1 0.6667 0.3333 0.5000

(2)
# KScTaSe3 (PBE, optimized geometry)
# density: 5.387 g/cm3
# uncorrected energy: -6.003 eV/atom
data_KScTaSe3
_chemical_formula_sum 'K4 Sc4 Ta4 Se12'
_cell_length_a 3.8505
_cell_length_b 15.4939
_cell_length_c 10.3733
_cell_angle_alpha 90.00
_cell_angle_beta 90.00
_cell_angle_gamma 90.00
_space_group_name_H-M_alt 'C m c m'
_space_group_IT_number 63
_space_group_name_Hall '-C 2c 2'
loop_
_atom_site_label
_atom_site_fract_x
_atom_site_fract_y
_atom_site_fract_z
K1 0.0000 0.2470 0.2500
Sc1 0.0000 0.5000 0.0000
Ta1 0.0000 0.0349 0.7500
Se1 0.0000 0.1227 0.5498
Se2 0.0000 0.4244 0.7500

(3)
# KScTcSe3 (PBE, optimized geometry)
# ΔE to the lowest computed polymorph: 0 meV/atom
# density: 4.668 g/cm3
# uncorrected energy: -5.696 eV/atom
data_KScTcSe3
_chemical_formula_sum 'K4 Sc4 Tc4 Se12'
_cell_length_a 3.9131
_cell_length_b 15.1433
_cell_length_c 10.0606
_cell_angle_alpha 90.00
_cell_angle_beta 90.00
_cell_angle_gamma 90.00
_space_group_name_H-M_alt 'C m c m'
_space_group_IT_number 63
_space_group_name_Hall '-C 2c 2'
loop_
_atom_site_label
_atom_site_fract_x
_atom_site_fract_y
_atom_site_fract_z
K1 0.0000 0.2457 0.2500
Sc1 0.0000 0.0000 0.0000
Tc1 0.0000 0.4816 0.7500
Se1 0.0000 0.0771 0.7500
Se2 0.0000 0.3804 0.5583

(4)
# KScTcSe3 (PBE, optimized geometry)
# ΔE to the lowest computed polymorph: 37 meV/atom
# density: 4.680 g/cm3
# uncorrected energy: -5.659 eV/atom
data_KScTcSe3
_chemical_formula_sum 'K4 Sc4 Tc4 Se12'
_cell_length_a 4.0273
_cell_length_b 15.3956
_cell_length_c 9.5897
_cell_angle_alpha 90.00
_cell_angle_beta 90.00
_cell_angle_gamma 90.00
_space_group_name_H-M_alt 'C m c m'
_space_group_IT_number 63
_space_group_name_Hall '-C 2c 2'
loop_
_atom_site_label
_atom_site_fract_x
_atom_site_fract_y
_atom_site_fract_z
K1 0.0000 0.2401 0.2500
Sc1 0.0000 0.4848 0.7500
Tc1 0.0000 0.0000 0.0000
Se1 0.0000 0.0851 0.7500
Se2 0.0000 0.3866 0.5358